1.
NaMnNi2 GGA-PBEsol optimized geometry; Fermi-level density of states = 1.71 states/eV/f.u.; formation energy from the elements = 0.55 eV per atom
1.0
0.000 2.954 2.954
2.954 0.000 2.954
2.954 2.954 0.000
Na Mn Ni
1 1 2
direct
0.000 0.000 0.000
0.500 0.500 0.500
0.250 0.250 0.250
0.750 0.750 0.750

***

2.
ZrAsRu2 GGA-PBEsol optimized geometry; Fermi-level density of states = 3.64 states/eV/f.u.; formation energy from the elements = 0.00 eV per atom
1.0
1.536 0.887 7.876
-1.536 0.887 7.876
0.000 -1.774 7.876
Zr As Ru
1 1 2
direct
0.000 0.000 0.000
0.500 0.500 0.500
0.245 0.245 0.245
0.755 0.755 0.755

***

3.
TbSi3Ir GGA-PBEsol optimized geometry; Fermi-level density of states = 1.31 states/eV/f.u.; formation energy from raw total energies = -414.4 kJ/mol of formula units
1.0
-2.079 2.079 4.867
2.079 -2.079 4.867
2.079 2.079 -4.867
Tb Si Ir
1 3 1
direct
0.000 0.000 0.000
0.233 0.733 0.500
0.584 0.584 0.000
0.733 0.233 0.500
0.346 0.346 0.000

***

4.
LiMgCu2 GGA-PBEsol optimized geometry; Fermi-level density of states = 1.34 states/eV/f.u.; formation energy from the elements = -0.03 eV per atom
1.0
0.000 2.990 2.990
2.990 0.000 2.990
2.990 2.990 0.000
Li Mg Cu
1 1 2
direct
0.000 0.000 0.000
0.750 0.750 0.750
0.250 0.250 0.250
0.500 0.500 0.500

***

5.
Ho2Ge2O7 GGA-PBEsol optimized geometry; Fermi-level density of states = 0.00 states/eV/f.u.; formation energy from raw total energies = -2812.4 kJ/mol of formula units; offset from the most stable computed form = 5.6 kJ per mole of atoms
1.0
6.751 0.000 0.000
-0.319 6.786 0.000
-0.844 -1.050 11.846
Ho Ge O
8 8 28
direct
0.073 0.092 0.370
0.173 0.692 0.872
0.267 0.361 0.625
0.332 0.031 0.117
0.668 0.969 0.883
0.733 0.639 0.375
0.827 0.308 0.128
0.927 0.908 0.630
0.151 0.174 0.889
0.234 0.587 0.375
0.322 0.506 0.149
0.392 0.846 0.608
0.608 0.154 0.392
0.678 0.494 0.851
0.766 0.413 0.625
0.849 0.826 0.111
0.022 0.001 0.188
0.055 0.763 0.383
0.103 0.240 0.029
0.126 0.423 0.231
0.171 0.385 0.449
0.220 0.372 0.816
0.221 0.704 0.681
0.233 0.034 0.569
0.267 0.696 0.065
0.340 0.004 0.916
0.389 0.074 0.310
0.432 0.631 0.282
0.438 0.695 0.487
0.485 0.325 0.115
0.515 0.675 0.885
0.562 0.305 0.513
0.568 0.369 0.718
0.611 0.926 0.690
0.660 0.996 0.084
0.733 0.304 0.935
0.767 0.966 0.431
0.779 0.296 0.319
0.780 0.628 0.184
0.829 0.615 0.551
0.874 0.577 0.769
0.897 0.760 0.971
0.945 0.237 0.617
0.978 0.999 0.812

***

6.
NiMoN2F GGA-PBEsol optimized geometry; Fermi-level density of states = 3.42 states/eV/f.u.; formation energy from raw total energies = 286.7 kJ/mol of formula units
1.0
3.717 0.000 0.000
0.000 3.717 0.000
0.000 0.000 3.526
Ni Mo N F
1 1 2 1
direct
0.000 0.000 0.000
0.500 0.500 0.500
0.000 0.500 0.000
0.500 0.000 0.000
0.000 0.000 0.500

***

7.
LiCa2Cd GGA-PBEsol optimized geometry; Fermi-level density of states = 3.12 states/eV/f.u.; formation energy from the elements = -0.16 eV per atom; offset from the most stable computed form = 3.3 kJ per mole of atoms
1.0
3.737 0.000 0.000
0.000 3.737 0.000
0.000 0.000 8.088
Li Ca Cd
1 2 1
direct
0.000 0.000 0.000
0.000 0.000 0.608
0.500 0.500 0.257
0.500 0.500 0.845

***

8.
RbP2O2 GGA-PBEsol optimized geometry; Fermi-level density of states = 4.47 states/eV/f.u.; formation energy from raw total energies = 127.4 kJ/mol of formula units
1.0
3.829 0.000 0.000
0.000 3.829 0.000
0.000 0.000 6.621
Rb P O
1 2 2
direct
0.000 0.000 0.000
0.000 0.500 0.500
0.500 0.000 0.500
0.500 0.500 0.000
0.500 0.500 0.500

***

9.
InAg3 GGA-PBEsol optimized geometry; Fermi-level density of states = 1.35 states/eV/f.u.; formation energy from the elements = 0.04 eV per atom
1.0
1.502 0.867 9.265
-1.502 0.867 9.265
0.000 -1.734 9.265
In Ag
1 3
direct
0.000 0.000 0.000
0.247 0.247 0.247
0.500 0.500 0.500
0.753 0.753 0.753

***

10.
CaY2Te GGA-PBEsol optimized geometry; Fermi-level density of states = 4.14 states/eV/f.u.; formation energy from raw total energies = -166.9 kJ/mol of formula units
1.0
-2.292 2.292 5.382
2.292 -2.292 5.382
2.292 2.292 -5.382
Ca Y Te
1 2 1
direct
0.000 0.000 0.000
0.250 0.750 0.500
0.500 0.500 0.000
0.750 0.250 0.500

***

11.
Fe2AgPt GGA-PBEsol optimized geometry; Fermi-level density of states = 2.61 states/eV/f.u.; formation energy from the elements = 0.11 eV per atom
1.0
4.493 -1.358 0.000
4.493 1.358 0.000
-1.167 0.000 4.473
Fe Ag Pt
2 1 1
direct
0.000 0.000 0.000
0.722 0.722 0.258
0.240 0.240 0.770
0.472 0.472 0.473

***

12.
TlHPt3 GGA-PBEsol optimized geometry; Fermi-level density of states = 1.17 states/eV/f.u.; VASP energy = -5.39 eV/atom
1.0
4.088 0.000 0.000
0.000 4.088 0.000
0.000 0.000 4.088
Tl H Pt
1 1 3
direct
0.000 0.000 0.000
0.500 0.500 0.500
0.000 0.500 0.500
0.500 0.000 0.500
0.500 0.500 0.000

***

13.
MgPbSN2 GGA-PBEsol optimized geometry; Fermi-level density of states = 1.53 states/eV/f.u.; formation energy from raw total energies = 416.8 kJ/mol of formula units
1.0
4.178 0.000 0.000
0.000 4.178 0.000
0.000 0.000 4.944
Mg Pb S N
1 1 1 2
direct
0.000 0.000 0.000
0.500 0.500 0.500
0.000 0.000 0.500
0.000 0.500 0.000
0.500 0.000 0.000

***

14.
Ti2Ga2Rh GGA-PBEsol optimized geometry; Fermi-level density of states = 3.34 states/eV/f.u.; formation energy from the elements = -0.59 eV per atom
1.0
6.406 0.000 0.000
0.000 6.406 0.000
0.000 0.000 3.665
Ti Ga Rh
4 4 2
direct
0.168 0.332 0.000
0.332 0.832 0.000
0.668 0.168 0.000
0.832 0.668 0.000
0.135 0.635 0.500
0.365 0.135 0.500
0.635 0.865 0.500
0.865 0.365 0.500
0.000 0.000 0.500
0.500 0.500 0.500

***

15.
Si3GeMo GGA-PBEsol optimized geometry; Fermi-level density of states = 3.51 states/eV/f.u.; formation energy from raw total energies = 728.1 kJ/mol of formula units
1.0
4.624 0.000 0.000
0.000 4.624 0.000
0.000 0.000 4.624
Si Ge Mo
3 1 1
direct
0.000 0.000 0.500
0.000 0.500 0.000
0.500 0.000 0.000
0.000 0.000 0.000
0.500 0.500 0.500

***

16.
Cs3NaRe GGA-PBEsol optimized geometry; Fermi-level density of states = 6.02 states/eV/f.u.; formation energy from the elements = 1.31 eV per atom
1.0
6.668 0.000 0.000
0.000 6.668 0.000
0.000 0.000 6.668
Cs Na Re
3 1 1
direct
0.000 0.000 0.500
0.000 0.500 0.000
0.500 0.000 0.000
0.500 0.500 0.500
0.000 0.000 0.000

***

17.
MnAgHg2 GGA-PBEsol optimized geometry; Fermi-level density of states = 2.65 states/eV/f.u.; formation energy from the elements = 0.20 eV per atom
1.0
3.088 0.000 0.000
0.000 3.088 0.000
0.000 0.000 7.452
Mn Ag Hg
1 1 2
direct
0.000 0.000 0.000
0.000 0.000 0.500
0.500 0.500 0.239
0.500 0.500 0.761

***

18.
CaSbAs3 GGA-PBEsol optimized geometry; Fermi-level density of states = 4.60 states/eV/f.u.; formation energy from raw total energies = 147.3 kJ/mol of formula units
1.0
5.215 0.000 0.000
0.000 5.215 0.000
0.000 0.000 5.215
Ca Sb As
1 1 3
direct
0.000 0.000 0.000
0.500 0.500 0.500
0.000 0.500 0.500
0.500 0.000 0.500
0.500 0.500 0.000

***

19.
Ca3Cd8Pt4 GGA-PBEsol optimized geometry; Fermi-level density of states = 5.93 states/eV/f.u.; formation energy from the elements = -0.50 eV per atom
1.0
0.000 6.713 6.713
6.713 0.000 6.713
6.713 6.713 0.000
Ca Cd Pt
6 16 8
direct
0.213 0.213 0.787
0.213 0.787 0.213
0.213 0.787 0.787
0.787 0.213 0.213
0.787 0.213 0.787
0.787 0.787 0.213
0.141 0.620 0.620
0.165 0.165 0.165
0.165 0.165 0.506
0.165 0.506 0.165
0.380 0.380 0.380
0.380 0.380 0.859
0.380 0.859 0.380
0.494 0.835 0.835
0.506 0.165 0.165
0.620 0.141 0.620
0.620 0.620 0.141
0.620 0.620 0.620
0.835 0.494 0.835
0.835 0.835 0.494
0.835 0.835 0.835
0.859 0.380 0.380
0.000 0.000 0.000
0.000 0.000 0.500
0.000 0.500 0.000
0.000 0.500 0.500
0.500 0.000 0.000
0.500 0.000 0.500
0.500 0.500 0.000
0.500 0.500 0.500

***

20.
LaMo4Au GGA-PBEsol optimized geometry; Fermi-level density of states = 8.02 states/eV/f.u.; formation energy from the elements = 0.47 eV per atom
1.0
0.000 3.803 3.803
3.803 0.000 3.803
3.803 3.803 0.000
La Mo Au
1 4 1
direct
0.000 0.000 0.000
0.375 0.375 0.375
0.375 0.375 0.876
0.375 0.876 0.375
0.876 0.375 0.375
0.750 0.750 0.750